A plane-wave DFT calculation with PBE was carried out for an optimized crystal structure of SiSe2O.

Lattice parameters (Å, degrees): 4.346 4.346 4.346 60.00 60.00 60.00
Fractional positions:
Si  0.500  0.500  0.500
O  0.000  0.000  0.000
Se  0.250  0.250  0.250
Se  0.750  0.750  0.750

Summary:
symmetry = Fm-3m, No. 225
polymorph energy (0 for the lowest one) = 0.508 eV/atom
E_form (uncorrected) = 202 kJ/mol of formula units



A plane-wave DFT calculation with PBE was carried out for an optimized crystal structure of Ba2NdGaSe5.

Lattice parameters (Å, degrees): 7.456 8.926 9.658 103.79 103.04 107.68
Fractional positions:
Ba  0.634  0.979  0.295
Ba  0.366  0.021  0.705
Ba  0.340  0.510  0.705
Ba  0.660  0.490  0.295
Nd  0.997  0.731  0.997
Nd  0.003  0.269  0.003
Ga  0.807  0.872  0.686
Ga  0.193  0.128  0.314
Se  0.990  0.687  0.679
Se  0.010  0.313  0.321
Se  0.987  0.149  0.685
Se  0.013  0.851  0.315
Se  0.705  0.905  0.919
Se  0.295  0.095  0.081
Se  0.699  0.408  0.945
Se  0.301  0.592  0.055
Se  0.492  0.740  0.492
Se  0.508  0.260  0.508

Summary:
symmetry = P-1, No. 2
polymorph energy (0 for the lowest one) = 0.000 eV/atom
E_form (uncorrected) = -1431 kJ/mol of formula units



A plane-wave DFT calculation with PBE was carried out for an optimized crystal structure of BaTe3Pb2.

Lattice parameters (Å, degrees): 4.751 6.758 8.280 114.09 106.67 90.00
Fractional positions:
Ba  0.500  0.000  0.000
Te  0.500  0.500  0.000
Te  0.178  0.178  0.356
Te  0.822  0.822  0.644
Pb  0.166  0.666  0.331
Pb  0.834  0.334  0.669

Summary:
symmetry = Immm, No. 71
polymorph energy (0 for the lowest one) = 0.000 eV/atom
E_form (uncorrected) = -488 kJ/mol of formula units



A plane-wave DFT calculation with PBE was carried out for an optimized crystal structure of CeMg4Si2.

Lattice parameters (Å, degrees): 4.263 4.257 8.409 104.66 90.00 90.00
Site moments in Bohr magnetons follow the coordinates.
Fractional positions:
Ce  0.000  0.000  0.000  0.65
Mg  0.500  0.825  0.650  0.00
Mg  0.000  0.677  0.354  0.00
Mg  0.500  0.175  0.350  0.00
Mg  0.000  0.323  0.646  0.00
Si  0.500  0.572  0.144  -0.01
Si  0.500  0.428  0.856  -0.01

Summary:
symmetry = Cmmm, No. 65
E_form (uncorrected) = -194 kJ/mol of formula units



A plane-wave DFT calculation with PBE was carried out for an optimized crystal structure of Pr4Sm2Tm.

Lattice parameters (Å, degrees): 6.065 6.213 7.286 115.24 90.00 90.00
Fractional positions:
Pr  0.500  0.637  0.273
Pr  0.000  0.810  0.620
Pr  0.500  0.363  0.727
Pr  0.000  0.190  0.380
Sm  0.500  0.110  0.220
Sm  0.500  0.890  0.780
Tm  0.000  0.500  0.000

Summary:
symmetry = Cmmm, No. 65
polymorph energy (0 for the lowest one) = 0.373 eV/atom
energy relative to the elements = 0.43 eV per atom



A plane-wave DFT calculation with PBE was carried out for an optimized crystal structure of LaNbC.

Lattice parameters (Å, degrees): 4.330 6.815 9.434 94.12 103.27 90.00
Site moments in Bohr magnetons follow the coordinates.
Fractional positions:
La  0.091  0.337  0.182  0.19
La  0.405  0.165  0.811  0.08
La  0.595  0.835  0.189  0.08
La  0.909  0.663  0.818  0.19
Nb  0.230  0.627  0.461  0.02
Nb  0.776  0.888  0.552  0.06
Nb  0.770  0.373  0.539  0.02
Nb  0.224  0.112  0.448  0.06
C  0.300  0.385  0.599  0.00
C  0.695  0.115  0.390  0.00
C  0.700  0.615  0.401  0.00
C  0.305  0.885  0.610  0.00

Summary:
symmetry = C2/m, No. 12
energy relative to the elements = -0.11 eV per atom



A plane-wave DFT calculation with PBE was carried out for an optimized crystal structure of PmBePd2.

Lattice parameters (Å, degrees): 5.208 5.378 6.473 109.28 97.79 118.90
Fractional positions:
Pm  0.134  0.359  0.260
Pm  0.866  0.641  0.740
Be  0.763  0.999  0.503
Be  0.237  0.001  0.497
Pd  0.447  0.984  0.205
Pd  0.755  0.618  0.201
Pd  0.553  0.016  0.795
Pd  0.245  0.382  0.799

Summary:
symmetry = P-1, No. 2
polymorph energy (0 for the lowest one) = 0.030 eV/atom
energy relative to the elements = -0.67 eV per atom



A plane-wave DFT calculation with PBE was carried out for an optimized crystal structure of Sr2LiAc.

Lattice parameters (Å, degrees): 5.513 5.709 5.709 90.00 90.00 90.00
Fractional positions:
Sr  0.000  0.000  0.500
Sr  0.000  0.500  0.000
Ac  0.500  0.500  0.500
Li  0.500  0.000  0.000

Summary:
symmetry = P4/mmm, No. 123
polymorph energy (0 for the lowest one) = 0.114 eV/atom
energy relative to the elements = 0.19 eV per atom



A plane-wave DFT calculation with PBE was carried out for an optimized crystal structure of YFe2Br.

Lattice parameters (Å, degrees): 3.871 3.871 6.686 89.91 89.91 60.01
Site moments in Bohr magnetons follow the coordinates.
Fractional positions:
Br  0.874  0.874  0.745  0.02
Fe  0.875  0.875  0.130  1.97
Fe  0.209  0.209  0.182  1.87
Y  0.542  0.542  0.443  -0.18

Summary:
symmetry = Cm, No. 8
polymorph energy (0 for the lowest one) = 0.000 eV/atom
E_form (uncorrected) = -46 kJ/mol of formula units



A plane-wave DFT calculation with PBE was carried out for an optimized crystal structure of PmZnIn6.

Lattice parameters (Å, degrees): 4.297 6.857 6.857 89.90 90.00 90.00
Fractional positions:
Pm  0.500  0.000  0.000
Zn  0.500  0.500  0.500
In  0.000  0.732  0.268
In  0.000  0.268  0.732
In  0.000  0.733  0.733
In  0.000  0.267  0.267
In  0.500  0.500  0.000
In  0.500  0.000  0.500

Summary:
symmetry = Cmmm, No. 65
energy relative to the elements = -0.14 eV per atom



A plane-wave DFT calculation with PBE was carried out for an optimized crystal structure of Cd2FeRh2.

Lattice parameters (Å, degrees): 6.424 6.424 4.243 90.00 90.00 90.00
Site moments in Bohr magnetons follow the coordinates.
Fractional positions:
Rh  0.360  0.860  0.000  0.37
Rh  0.860  0.640  0.000  0.36
Rh  0.640  0.140  0.000  0.37
Rh  0.140  0.360  0.000  0.36
Fe  0.000  0.000  0.000  3.14
Fe  0.500  0.500  0.000  3.15
Cd  0.167  0.667  0.500  -0.01
Cd  0.667  0.833  0.500  -0.01
Cd  0.833  0.333  0.500  -0.01
Cd  0.333  0.167  0.500  -0.01

Summary:
symmetry = P4/mbm, No. 127
energy relative to the elements = 0.08 eV per atom



A plane-wave DFT calculation with PBE was carried out for an optimized crystal structure of Ca2In2Sn7.

Lattice parameters (Å, degrees): 4.293 10.959 10.959 58.71 54.04 54.04
Fractional positions:
Ca  0.022  0.826  0.826
Ca  0.978  0.174  0.174
In  0.500  0.207  0.793
In  0.500  0.793  0.207
Sn  0.927  0.515  0.866
Sn  0.073  0.134  0.485
Sn  0.073  0.485  0.134
Sn  0.927  0.866  0.515
Sn  0.307  0.398  0.398
Sn  0.000  0.000  0.000
Sn  0.693  0.602  0.602

Summary:
symmetry = Immm, No. 71
energy relative to the elements = -0.19 eV per atom



Number 1: magnetic moment 0.00 μB/cell, uncorrected energy -3.815 eV/atom. Number 2: magnetic moment 0.00 μB/cell, uncorrected energy -4.877 eV/atom. Number 3: magnetic moment 0.00 μB/cell, uncorrected energy -3.971 eV/atom. Number 4: magnetic moment 0.71 μB/cell, uncorrected energy -3.595 eV/atom. Number 5: magnetic moment 0.00 μB/cell, uncorrected energy -4.284 eV/atom. Number 6: magnetic moment 1.74 μB/cell, uncorrected energy -8.183 eV/atom. Number 7: magnetic moment 0.00 μB/cell, uncorrected energy -5.388 eV/atom. Number 8: magnetic moment 0.00 μB/cell, uncorrected energy -2.160 eV/atom. Number 9: magnetic moment 3.70 μB/cell, uncorrected energy -6.385 eV/atom. Number 10: magnetic moment 0.00 μB/cell, uncorrected energy -2.950 eV/atom. Number 11: magnetic moment 7.73 μB/cell, uncorrected energy -4.920 eV/atom. Number 12: magnetic moment 0.00 μB/cell, uncorrected energy -3.598 eV/atom.